# InPt

A relaxed structure of InPt (PBE, the Alexandria database).

Cell: 10.1554 3.2857 7.5371 Å, 90.00 115.06 90.00°
Closest atoms and distances in Å follow each position.
Fractional coordinates of all 12 atoms:
1 In 0.0000 0.0000 0.0000  7 Pt 2.78-2.95
2 In 0.1201 0.5000 0.7261  6 Pt 2.72-2.88
3 In 0.3448 0.5000 0.3640  7 Pt 2.75-2.85
4 In 0.5000 0.5000 0.0000  7 Pt 2.78-2.95
5 In 0.6201 0.0000 0.7261  6 Pt 2.72-2.88
6 In 0.8448 0.0000 0.3640  7 Pt 2.75-2.85
7 Pt 0.0671 0.5000 0.3415  6 In 2.72-2.88, 1 Pt 2.83
8 Pt 0.2834 0.0000 0.0348  7 In 2.76-2.85, 2 Pt 2.83-3.07
9 Pt 0.3262 0.0000 0.6552  7 In 2.80-2.95, 1 Pt 3.07
10 Pt 0.5671 0.0000 0.3415  6 In 2.72-2.88, 1 Pt 2.83
11 Pt 0.7834 0.5000 0.0348  7 In 2.76-2.85, 2 Pt 2.83-3.07
12 Pt 0.8262 0.5000 0.6552  7 In 2.80-2.95, 1 Pt 3.07

Output
Formation energy from the elements, meV/atom: -399
Symmetry: Cm, No. 8
E_tot, eV per atom: -4.789
Magnetization, μB per formula unit: 0.0